DFT (PBE) results for crystalline SrAlAu2 at its relaxed geometry.

Properties
Symmetry ... I-42d, No. 122
VASP energy ... -3.418 eV/atom

Cell lengths 5.2904, 5.2904, 9.1028 Å; angles 73.11, 73.11, 90.00 degrees
Sites, in units of the cell vectors:
Al 0.5000 0.5000 0.0000
Sr 0.7500 0.2500 0.5000
Au 0.3750 0.5297 0.7500
Au 0.8750 0.7203 0.7500
Sr 0.0000 0.0000 0.0000
Au 0.4703 0.1250 0.2500
Al 0.2500 0.7500 0.5000
Au 0.2797 0.6250 0.2500